# La3Sm4Dy5 | Alexandria via LeMat-Bulk | GGA-PBE | optimized geometry
# Energy relative to the elements, eV per atom: 0.0215
data_La3Sm4Dy5
_cell_length_a 6.273
_cell_length_b 7.240
_cell_length_c 8.889
_cell_angle_alpha 89.83
_cell_angle_beta 89.82
_cell_angle_gamma 89.88
_symmetry_space_group_name_H-M 'P -1'
_symmetry_Int_Tables_number 2
_symmetry_space_group_name_Hall '-P 1'
loop_
_atom_site_label
_atom_site_type_symbol
_atom_site_fract_x
_atom_site_fract_y
_atom_site_fract_z
La1 La 0.000 0.000 0.000
La2 La 0.167 0.250 0.332
Sm1 Sm 0.170 0.750 0.332
Sm2 Sm 0.332 0.500 0.669
Dy1 Dy 0.000 0.500 0.000
Dy2 Dy 0.335 0.000 0.668
Dy3 Dy 0.498 0.749 0.000